Entry from the Alexandria database: a relaxed structure of Cd3MoO (GGA-PBEsol).

E   -3.585 eV per atom

```
data_Cd3MoO
_space_group_name_H-M_alt 'P 1'
_space_group_IT_number 1
_space_group_name_Hall 'P 1'
_cell_length_a 4.499
_cell_length_b 4.499
_cell_length_c 4.499
_cell_angle_alpha 90.00
_cell_angle_beta 90.00
_cell_angle_gamma 90.00
loop_
_atom_site_label
_atom_site_fract_x
_atom_site_fract_y
_atom_site_fract_z
_atom_site_occupancy
Cd1 0.000 0.000 0.500 1
Cd2 0.000 0.500 0.000 1
Cd3 0.500 0.000 0.000 1
Mo1 0.500 0.500 0.500 1
O1 0.000 0.000 0.000 1
```

Entry from the Alexandria database: a relaxed structure of MgScCr2Ga (GGA-PBEsol).

E   -5.610 eV per atom

```
data_MgScCr2Ga
_space_group_name_H-M_alt 'P 1'
_space_group_IT_number 1
_space_group_name_Hall 'P 1'
_cell_length_a 4.649
_cell_length_b 4.649
_cell_length_c 4.976
_cell_angle_alpha 90.00
_cell_angle_beta 90.00
_cell_angle_gamma 90.00
loop_
_atom_site_label
_atom_site_fract_x
_atom_site_fract_y
_atom_site_fract_z
_atom_site_occupancy
Mg1 0.000 0.000 0.000 1
Sc1 0.500 0.500 0.000 1
Cr1 0.000 0.500 0.500 1
Cr2 0.500 0.000 0.500 1
Ga1 0.500 0.500 0.500 1
```

Entry from the Alexandria database: a relaxed structure of BaTl2In2 (GGA-PBEsol).

E   -2.967 eV per atom

```
data_BaTl2In2
_space_group_name_H-M_alt 'P 1'
_space_group_IT_number 1
_space_group_name_Hall 'P 1'
_cell_length_a 7.149
_cell_length_b 7.149
_cell_length_c 7.149
_cell_angle_alpha 139.44
_cell_angle_beta 139.44
_cell_angle_gamma 58.71
loop_
_atom_site_label
_atom_site_fract_x
_atom_site_fract_y
_atom_site_fract_z
_atom_site_occupancy
Ba1 0.000 0.000 0.000 1
Tl1 0.384 0.384 0.000 1
Tl2 0.616 0.616 0.000 1
In1 0.250 0.750 0.500 1
In2 0.750 0.250 0.500 1
```

Entry from the Alexandria database: a relaxed structure of Ag2PtW (GGA-PBEsol).

Energy relative to the lowest polymorph listed for this composition   0.318 eV/atom

```
data_Ag2PtW
_space_group_name_H-M_alt 'P 1'
_space_group_IT_number 1
_space_group_name_Hall 'P 1'
_cell_length_a 2.719
_cell_length_b 4.325
_cell_length_c 5.352
_cell_angle_alpha 90.00
_cell_angle_beta 90.00
_cell_angle_gamma 90.00
loop_
_atom_site_label
_atom_site_fract_x
_atom_site_fract_y
_atom_site_fract_z
_atom_site_occupancy
Ag1 0.000 0.000 0.247 1
Ag2 0.000 0.000 0.753 1
Pt1 0.500 0.500 0.500 1
W1 0.500 0.500 0.000 1
```

Entry from the Alexandria database: a relaxed structure of Sr2GePt2 (GGA-PBEsol).

E   -4.945 eV per atom

```
data_Sr2GePt2
_space_group_name_H-M_alt 'P 1'
_space_group_IT_number 1
_space_group_name_Hall 'P 1'
_cell_length_a 9.487
_cell_length_b 9.487
_cell_length_c 9.487
_cell_angle_alpha 157.50
_cell_angle_beta 157.50
_cell_angle_gamma 32.03
loop_
_atom_site_label
_atom_site_fract_x
_atom_site_fract_y
_atom_site_fract_z
_atom_site_occupancy
Sr1 0.113 0.113 0.000 1
Sr2 0.887 0.887 0.000 1
Ge1 0.500 0.500 0.000 1
Pt1 0.250 0.750 0.500 1
Pt2 0.750 0.250 0.500 1
```

Entry from the Alexandria database: a relaxed structure of BaTlSb2 (GGA-PBEsol).

Energy relative to the lowest polymorph listed for this composition   0.055 eV/atom

```
data_BaTlSb2
_space_group_name_H-M_alt 'P 1'
_space_group_IT_number 1
_space_group_name_Hall 'P 1'
_cell_length_a 6.502
_cell_length_b 6.502
_cell_length_c 6.502
_cell_angle_alpha 143.29
_cell_angle_beta 128.58
_cell_angle_gamma 64.83
loop_
_atom_site_label
_atom_site_fract_x
_atom_site_fract_y
_atom_site_fract_z
_atom_site_occupancy
Ba1 0.000 0.000 0.000 1
Tl1 0.727 0.227 0.500 1
Sb1 0.281 0.781 0.500 1
Sb2 0.479 0.479 0.000 1
```

Entry from the Alexandria database: a relaxed structure of Sc5Ru3 (GGA-PBEsol).

Energy relative to the lowest polymorph listed for this composition   0.000 eV/atom

```
data_Sc5Ru3
_space_group_name_H-M_alt 'P 1'
_space_group_IT_number 1
_space_group_name_Hall 'P 1'
_cell_length_a 7.647
_cell_length_b 7.647
_cell_length_c 5.757
_cell_angle_alpha 90.00
_cell_angle_beta 90.00
_cell_angle_gamma 120.00
loop_
_atom_site_label
_atom_site_fract_x
_atom_site_fract_y
_atom_site_fract_z
_atom_site_occupancy
Sc1 0.000 0.257 0.250 1
Sc2 0.000 0.743 0.750 1
Sc3 0.257 0.000 0.250 1
Sc4 0.257 0.257 0.750 1
Sc5 0.333 0.667 0.000 1
Sc6 0.333 0.667 0.500 1
Sc7 0.667 0.333 0.000 1
Sc8 0.667 0.333 0.500 1
Sc9 0.743 0.000 0.750 1
Sc10 0.743 0.743 0.250 1
Ru1 0.000 0.398 0.750 1
Ru2 0.000 0.602 0.250 1
Ru3 0.398 0.000 0.750 1
Ru4 0.398 0.398 0.250 1
Ru5 0.602 0.000 0.250 1
Ru6 0.602 0.602 0.750 1
```

Entry from the Alexandria database: a relaxed structure of TaCrN2F (GGA-PBEsol).

E   -8.483 eV per atom

```
data_TaCrN2F
_space_group_name_H-M_alt 'P 1'
_space_group_IT_number 1
_space_group_name_Hall 'P 1'
_cell_length_a 3.797
_cell_length_b 3.797
_cell_length_c 3.502
_cell_angle_alpha 90.00
_cell_angle_beta 90.00
_cell_angle_gamma 90.00
loop_
_atom_site_label
_atom_site_fract_x
_atom_site_fract_y
_atom_site_fract_z
_atom_site_occupancy
Ta1 0.000 0.000 0.000 1
Cr1 0.500 0.500 0.500 1
N1 0.000 0.500 0.500 1
N2 0.500 0.000 0.500 1
F1 0.500 0.500 0.000 1
```

| no. | total magnetization (μB/atom) |
| --- | --- |
| 1 | 0.584 |
| 2 | 1.155 |
| 3 | 0.000 |
| 4 | 0.000 |
| 5 | 0.000 |
| 6 | 0.000 |
| 7 | 0.000 |
| 8 | 0.352 |